DFT (GGA+U) results for a relaxed CaMn2HgO crystal.

Cell: 6.3524 6.3524 4.1644 Å, 90.00 90.00 90.00°
Closest atoms and distances in Å follow each position.
Space group P4/mmm (No. 123)
Inequivalent atoms, fractional coordinates:
Ca 0.0000 0.0000 0.0000 (multiplicity 1)  2 O 2.08
Mn 0.0000 0.5000 0.0000 (multiplicity 2)  2 Ca 3.18
Hg 0.5000 0.5000 0.5000 (multiplicity 1)  8 Mn 3.80, 2 Hg 4.16
O 0.0000 0.0000 0.5000 (multiplicity 1)  2 Ca 2.08

For the calculated total energy, the calculation gives -4.170 eV/atom. The value obtained for the magnetization is 2.0054 μB/atom.